Record 1
Material: Zn2FeRe
Method: DFT, GGA-PBE
State: relaxed

Calculated values
Electronic total energy (eV per formula unit): -23.3
Size of the total moment (μB per formula unit): 0.41
E_form (eV/atom): 0.045

The structure in POSCAR format:
```
Zn2FeRe
1.0
2.765 0.000 0.000
0.000 2.765 0.000
0.000 0.000 7.029
Re Zn Fe
1 2 1
direct
0.500 0.500 0.725 Re
0.000 0.000 0.000 Zn
0.500 0.500 0.270 Zn
0.000 0.000 0.505 Fe
```

Record 2
Material: PrHoCuNi
Method: DFT, GGA-PBE
State: relaxed

Calculated values
Electronic total energy (eV per formula unit): -20.2
Size of the total moment (μB per formula unit): 0.00
E_form (eV/atom): -0.239

The structure in POSCAR format:
```
PrHoCuNi
1.0
-4.677 1.378 -0.779
-3.343 -0.464 3.604
-1.794 4.020 2.235
Pr Ni Ho Cu
1 1 1 1
direct
0.500 0.500 0.500 Pr
0.750 0.750 0.750 Ni
0.000 0.000 0.000 Ho
0.250 0.250 0.250 Cu
```